Compound: Mg3Ag4Hg
Source: the Alexandria database
Functional: PBE
Structure: relaxed

## Properties
Energy of formation from the pure elements, eV per atom: 0.04

```
data_Mg3Ag4Hg
_symmetry_space_group_name_H-M 'C 1 2/m 1'
_symmetry_Int_Tables_number 12
_cell_length_a 22.6110
_cell_length_b 3.0481
_cell_length_c 4.9311
_cell_angle_alpha 90.00
_cell_angle_beta 92.52
_cell_angle_gamma 90.00
loop_
_symmetry_equiv_pos_as_xyz
'x,y,z'
'-x,-y,-z'
'-x,y,-z'
'x,-y,z'
'x+1/2,y+1/2,z'
'-x+1/2,-y+1/2,-z'
'-x+1/2,y+1/2,-z'
'x+1/2,-y+1/2,z'
loop_
_atom_site_label
_atom_site_type_symbol
_atom_site_fract_x
_atom_site_fract_y
_atom_site_fract_z
_atom_site_occupancy
Mg1 Mg 0.0000 0.0000 0.0000 1
Mg2 Mg 0.1607 0.0000 0.2209 1
Ag1 Ag 0.1051 0.0000 0.7110 1
Ag2 Ag 0.2312 0.0000 0.7433 1
Hg1 Hg 0.0000 0.5000 0.5000 1
```

---

Compound: Mg4AgHg2
Source: the Alexandria database
Functional: PBE
Structure: relaxed

## Properties
Energy of formation from the pure elements, eV per atom: -0.10

```
data_Mg4AgHg2
_symmetry_space_group_name_H-M 'P 1 21/m 1'
_symmetry_Int_Tables_number 11
_cell_length_a 7.3038
_cell_length_b 6.2977
_cell_length_c 7.4967
_cell_angle_alpha 90.00
_cell_angle_beta 116.98
_cell_angle_gamma 90.00
loop_
_symmetry_equiv_pos_as_xyz
'x,y,z'
'-x,-y,-z'
'-x,y+1/2,-z'
'x,-y+1/2,z'
loop_
_atom_site_label
_atom_site_type_symbol
_atom_site_fract_x
_atom_site_fract_y
_atom_site_fract_z
_atom_site_occupancy
Mg1 Mg 0.0105 0.2500 0.4836 1
Mg2 Mg 0.1502 0.2500 0.9396 1
Mg3 Mg 0.4335 0.0026 0.7506 1
Ag1 Ag 0.2988 0.2500 0.3526 1
Hg1 Hg 0.2094 0.7500 0.9338 1
Hg2 Hg 0.2685 0.7500 0.3591 1
```